A crystal of LaSi relaxed with PBEsol, computed with meta-GGA SCAN.

## Properties
**Final energy**: -27.34 eV per atom
**SG**: No. 63

```
LaSi
1.0
3.9360 0.0000 0.0000
0.0000 4.4990 0.0000
0.0000 2.2495 5.5803
Si La
2 2
direct
0.7500 0.5677 0.8647
0.2500 0.4323 0.1353
0.7500 0.8584 0.2832
0.2500 0.1416 0.7168
```